Arrangement w

A geometry-optimized Pr3Dy2Co2B6 structure, computed with PBE.

- size of the total moment (μB per formula unit) = 0.000

a b c (Å): 8.6950 8.6950 8.6950
angles (deg): 36.48 36.48 36.48
Last column: nearest neighbours and their distance in Å.
Sites, in units of the cell vectors:
Pr1 0.0000 0.0000 0.0000  2 Co 2.96
Pr2 0.4138 0.4138 0.4138  6 B 2.77
Pr3 0.5862 0.5862 0.5862  6 B 2.77
Dy1 0.2469 0.2469 0.2469  6 B 2.67
Dy2 0.7531 0.7531 0.7531  6 B 2.67
Co1 0.1218 0.1218 0.1218  6 B 2.12
Co2 0.8782 0.8782 0.8782  6 B 2.12
B1 0.1677 0.5000 0.8323  3 B 1.81-1.83
B2 0.1677 0.8323 0.5000  3 B 1.81-1.83
B3 0.5000 0.1677 0.8323  3 B 1.81-1.83
B4 0.5000 0.8323 0.1677  3 B 1.81-1.83
B5 0.8323 0.1677 0.5000  3 B 1.81-1.83
B6 0.8323 0.5000 0.1677  3 B 1.81-1.83

---

Arrangement x

A geometry-optimized Pr3Dy2Co2B6 structure, computed with PBE.

- size of the total moment (μB per formula unit) = 0.000

a b c (Å): 8.6886 8.6886 8.6886
angles (deg): 36.51 36.51 36.51
Last column: nearest neighbours and their distance in Å.
Sites, in units of the cell vectors:
Pr1 0.0000 0.0000 0.0000  2 Co 2.98
Pr2 0.2537 0.2537 0.2537  6 B 2.79
Pr3 0.7463 0.7463 0.7463  6 B 2.79
Dy1 0.4209 0.4209 0.4209  6 B 2.64
Dy2 0.5791 0.5791 0.5791  6 B 2.64
Co1 0.1225 0.1225 0.1225  6 B 2.11
Co2 0.8775 0.8775 0.8775  6 B 2.11
B1 0.1680 0.5000 0.8320  3 B 1.81-1.83
B2 0.1680 0.8320 0.5000  3 B 1.81-1.83
B3 0.5000 0.1680 0.8320  3 B 1.81-1.83
B4 0.5000 0.8320 0.1680  3 B 1.81-1.83
B5 0.8320 0.1680 0.5000  3 B 1.81-1.83
B6 0.8320 0.5000 0.1680  3 B 1.81-1.83

---

Each structure's energy above the most stable one, in kJ/mol of atoms: arrangement w 0.9; arrangement x 0.0.

---

Arrangement w

A geometry-optimized ErCoB4 structure, computed with PBE.

- size of the total moment (μB per formula unit) = 1.101

a b c (Å): 4.6808 4.6808 4.6808
angles (deg): 140.84 111.45 81.89
Last column: nearest neighbours and their distance in Å.
Sites, in units of the cell vectors:
Er1 0.0000 0.0000 0.0000  12 B 2.49-2.52
Co1 0.5000 0.5000 0.0000  12 B 2.49-2.52
B1 0.0826 0.7499 0.3328  3 B 1.76-1.79
B2 0.4171 0.7499 0.6672  3 B 1.76-1.79
B3 0.5829 0.2501 0.3328  3 B 1.76-1.79
B4 0.9174 0.2501 0.6672  3 B 1.76-1.79

---

Arrangement x

A geometry-optimized ErCoB4 structure, computed with PBE.

- size of the total moment (μB per formula unit) = 0.002

a b c (Å): 3.1508 3.1508 6.4154
angles (deg): 90.00 90.00 120.00
Last column: nearest neighbours and their distance in Å.
Sites, in units of the cell vectors:
Er1 0.0000 0.0000 0.0000  12 B 2.64
Co1 0.0000 0.0000 0.5000  12 B 2.24
B1 0.3333 0.6667 0.2972  3 B 1.82
B2 0.3333 0.6667 0.7028  3 B 1.82
B3 0.6667 0.3333 0.2972  3 B 1.82
B4 0.6667 0.3333 0.7028  3 B 1.82

---

Each structure's energy above the most stable one, in kJ/mol of atoms: arrangement w 16.9; arrangement x 0.0.

---

Arrangement w

A geometry-optimized LuFeCoB structure, computed with PBE.

- size of the total moment (μB per formula unit) = 4.206

a b c (Å): 4.2079 4.2079 4.2079
angles (deg): 60.00 60.00 60.00
Last column: nearest neighbours and their distance in Å.
Sites, in units of the cell vectors:
Lu1 0.0000 0.0000 0.0000  4 Co 2.58, 4 B 2.58
Fe1 0.5000 0.5000 0.5000  4 Co 2.58, 4 B 2.58
Co1 0.7500 0.7500 0.7500  4 Fe 2.58, 4 Lu 2.58
B1 0.2500 0.2500 0.2500  4 Fe 2.58, 4 Lu 2.58

---

Arrangement x

A geometry-optimized LuFeCoB structure, computed with PBE.

- size of the total moment (μB per formula unit) = 4.226

a b c (Å): 4.2010 4.2010 4.2010
angles (deg): 60.00 60.00 60.00
Last column: nearest neighbours and their distance in Å.
Sites, in units of the cell vectors:
Lu1 0.0000 0.0000 0.0000  4 Fe 2.57, 4 B 2.57
Fe1 0.7500 0.7500 0.7500  4 Co 2.57, 4 Lu 2.57
Co1 0.5000 0.5000 0.5000  4 Fe 2.57, 4 B 2.57
B1 0.2500 0.2500 0.2500  4 Co 2.57, 4 Lu 2.57

---

Arrangement y

A geometry-optimized LuFeCoB structure, computed with PBE.

- size of the total moment (μB per formula unit) = 0.890

a b c (Å): 4.0741 4.0741 4.0741
angles (deg): 60.00 60.00 60.00
Last column: nearest neighbours and their distance in Å.
Sites, in units of the cell vectors:
Lu1 0.0000 0.0000 0.0000  4 Co 2.49, 4 Fe 2.49
Fe1 0.2500 0.2500 0.2500  4 B 2.49, 4 Lu 2.49
Co1 0.7500 0.7500 0.7500  4 B 2.49, 4 Lu 2.49
B1 0.5000 0.5000 0.5000  4 Fe 2.49, 4 Co 2.49

---

Each structure's energy above the most stable one, in kJ/mol of atoms: arrangement w 0.0; arrangement x 3.6; arrangement y 6.6.

---

Arrangement w

A geometry-optimized FeCoBMo structure, computed with PBE.

- size of the total moment (μB per formula unit) = 2.515

a b c (Å): 3.9580 3.9580 3.9580
angles (deg): 60.00 60.00 60.00
Last column: nearest neighbours and their distance in Å.
Sites, in units of the cell vectors:
Fe1 0.0000 0.0000 0.0000  4 Co 2.42, 4 Mo 2.42
Co1 0.7500 0.7500 0.7500  4 Fe 2.42, 4 B 2.42
B1 0.5000 0.5000 0.5000  4 Mo 2.42, 4 Co 2.42
Mo1 0.2500 0.2500 0.2500  4 Fe 2.42, 4 B 2.42

---

Arrangement x

A geometry-optimized FeCoBMo structure, computed with PBE.

- size of the total moment (μB per formula unit) = 2.506

a b c (Å): 3.9528 3.9528 3.9528
angles (deg): 60.00 60.00 60.00
Last column: nearest neighbours and their distance in Å.
Sites, in units of the cell vectors:
Fe1 0.0000 0.0000 0.0000  4 B 2.42, 4 Co 2.42
Co1 0.2500 0.2500 0.2500  4 Fe 2.42, 4 Mo 2.42
B1 0.7500 0.7500 0.7500  4 Fe 2.42, 4 Mo 2.42
Mo1 0.5000 0.5000 0.5000  4 Co 2.42, 4 B 2.42

---

Each structure's energy above the most stable one, in kJ/mol of atoms: arrangement w 0.0; arrangement x 6.9.

---

Arrangement w

A geometry-optimized FeCoNiB structure, computed with PBE.

- size of the total moment (μB per formula unit) = 4.362

a b c (Å): 3.8103 3.8103 3.8103
angles (deg): 60.00 60.00 60.00
Last column: nearest neighbours and their distance in Å.
Sites, in units of the cell vectors:
Fe1 0.0000 0.0000 0.0000  4 Ni 2.33, 4 Co 2.33
Co1 0.7500 0.7500 0.7500  4 B 2.33, 4 Fe 2.33
Ni1 0.2500 0.2500 0.2500  4 B 2.33, 4 Fe 2.33
B1 0.5000 0.5000 0.5000  4 Co 2.33, 4 Ni 2.33

---

Arrangement x

A geometry-optimized FeCoNiB structure, computed with PBE.

- size of the total moment (μB per formula unit) = 2.835

a b c (Å): 3.7759 3.7759 3.7759
angles (deg): 60.00 60.00 60.00
Last column: nearest neighbours and their distance in Å.
Sites, in units of the cell vectors:
Fe1 0.0000 0.0000 0.0000  4 B 2.31, 4 Ni 2.31
Co1 0.5000 0.5000 0.5000  4 B 2.31, 4 Ni 2.31
Ni1 0.2500 0.2500 0.2500  4 Fe 2.31, 4 Co 2.31
B1 0.7500 0.7500 0.7500  4 Fe 2.31, 4 Co 2.31

---

Each structure's energy above the most stable one, in kJ/mol of atoms: arrangement w 0.0; arrangement x 2.1.

---

Arrangement w

A geometry-optimized GaCoB4 structure, computed with PBE.

- size of the total moment (μB per formula unit) = 1.386

a b c (Å): 4.4600 4.4600 4.4600
angles (deg): 140.87 108.21 84.94
Last column: nearest neighbours and their distance in Å.
Sites, in units of the cell vectors:
Ga1 0.0000 0.0000 0.0000  12 B 2.39
Co1 0.5000 0.5000 0.0000  12 B 2.37-2.41
B1 0.0873 0.7522 0.3351  3 B 1.72-1.74
B2 0.4171 0.7522 0.6649  3 B 1.72-1.74
B3 0.5829 0.2478 0.3351  3 B 1.72-1.74
B4 0.9127 0.2478 0.6649  3 B 1.72-1.74

---

Arrangement x

A geometry-optimized GaCoB4 structure, computed with PBE.

- size of the total moment (μB per formula unit) = 0.047

a b c (Å): 3.0236 3.0236 6.6874
angles (deg): 90.00 90.00 120.00
Last column: nearest neighbours and their distance in Å.
Sites, in units of the cell vectors:
Ga1 0.0000 0.0000 0.0000  12 B 2.61
Co1 0.0000 0.0000 0.5000  12 B 2.24
B1 0.3333 0.6667 0.2902  3 B 1.75
B2 0.3333 0.6667 0.7098  3 B 1.75
B3 0.6667 0.3333 0.2902  3 B 1.75
B4 0.6667 0.3333 0.7098  3 B 1.75

---

Each structure's energy above the most stable one, in kJ/mol of atoms: arrangement w 3.9; arrangement x 0.0.

---

Arrangement w

A geometry-optimized CoGeB4 structure, computed with PBE.

- size of the total moment (μB per formula unit) = 1.217

a b c (Å): 4.4971 4.4971 4.4971
angles (deg): 141.08 107.74 85.25
Last column: nearest neighbours and their distance in Å.
Sites, in units of the cell vectors:
Co1 0.0000 0.0000 0.0000  12 B 2.37-2.46
Ge1 0.5000 0.5000 0.0000  12 B 2.40-2.42
B1 0.0797 0.7441 0.3356  3 B 1.74-1.75
B2 0.4085 0.7441 0.6644  3 B 1.74-1.75
B3 0.5915 0.2559 0.3356  3 B 1.74-1.75
B4 0.9203 0.2559 0.6644  3 B 1.74-1.75

---

Arrangement x

A geometry-optimized CoGeB4 structure, computed with PBE.

- size of the total moment (μB per formula unit) = 0.001

a b c (Å): 3.0496 3.0496 6.5467
angles (deg): 90.00 90.00 120.00
Last column: nearest neighbours and their distance in Å.
Sites, in units of the cell vectors:
Co1 0.0000 0.0000 0.0000  12 B 2.24
Ge1 0.0000 0.0000 0.5000  12 B 2.59
B1 0.3333 0.6667 0.2108  3 B 1.76
B2 0.3333 0.6667 0.7892  3 B 1.76
B3 0.6667 0.3333 0.2108  3 B 1.76
B4 0.6667 0.3333 0.7892  3 B 1.76

---

Each structure's energy above the most stable one, in kJ/mol of atoms: arrangement w 10.3; arrangement x 0.0.

---

Arrangement w

A geometry-optimized CoGeB structure, computed with PBE.

- size of the total moment (μB per formula unit) = 0.005

a b c (Å): 3.5896 3.5896 3.5896
angles (deg): 60.00 60.00 60.00
Last column: nearest neighbours and their distance in Å.
Sites, in units of the cell vectors:
Co1 0.0000 0.0000 0.0000  4 B 2.20
Ge1 0.5000 0.5000 0.5000  4 B 2.20
B1 0.7500 0.7500 0.7500  4 Co 2.20, 4 Ge 2.20

---

Arrangement x

A geometry-optimized CoGeB structure, computed with PBE.

- size of the total moment (μB per formula unit) = 0.002

a b c (Å): 3.6730 3.6730 3.6730
angles (deg): 60.00 60.00 60.00
Last column: nearest neighbours and their distance in Å.
Sites, in units of the cell vectors:
Co1 0.0000 0.0000 0.0000  4 B 2.25, 4 Ge 2.25
Ge1 0.2500 0.2500 0.2500  4 Co 2.25
B1 0.7500 0.7500 0.7500  4 Co 2.25

---

Each structure's energy above the most stable one, in kJ/mol of atoms: arrangement w 0.0; arrangement x 10.0.